(1)
Ba2In12AgIr3 | GGA-PBE | optimized geometry

Summary:
Symmetry ... R-3m, No. 166
ΔE_f ... -0.014 eV/atom
Crystal system ... trigonal

Structure (POSCAR):
```
Ba2In12AgIr3
1.0
-7.769 -2.380 3.620
-3.870 -6.331 -4.906
0.767 -7.902 4.012
In Ir Ba Ag
12 3 2 1
Direct
0.873 0.873 0.358
0.127 0.127 0.642
0.273 0.273 0.931
0.931 0.273 0.273
0.727 0.069 0.727
0.069 0.727 0.727
0.273 0.931 0.273
0.727 0.727 0.069
0.127 0.642 0.127
0.642 0.127 0.127
0.873 0.358 0.873
0.358 0.873 0.873
0.000 0.500 0.000
0.000 0.000 0.500
0.500 0.000 0.000
0.609 0.609 0.609
0.391 0.391 0.391
0.000 0.000 0.000
```

=====

(2)
AlGaAu4 | GGA-PBE | optimized geometry

Summary:
Symmetry ... P4/mmm, No. 123
ΔE_f ... -0.205 eV/atom
ΔE to the lowest computed polymorph ... 0.000 eV/atom
Crystal system ... tetragonal

Structure (POSCAR):
```
AlGaAu4
1.0
3.438 0.000 0.000
0.000 3.438 0.000
0.000 0.000 8.805
Au Ga Al
4 1 1
Direct
0.500 0.500 0.163
0.000 0.000 0.344
0.500 0.500 0.837
0.000 0.000 0.656
0.000 0.000 0.000
0.500 0.500 0.500
```

=====

(3)
AlSnMo3 | GGA-PBE | optimized geometry

Summary:
Symmetry ... Pm-3m, No. 221
ΔE_f ... 1.253 eV/atom
ΔE to the lowest computed polymorph ... 0.000 eV/atom
Crystal system ... cubic

Structure (POSCAR):
```
AlSnMo3
1.0
-3.215 -2.271 2.342
2.358 -3.890 -0.534
2.254 0.831 3.900
Al Sn Mo
1 1 3
Direct
0.000 0.000 0.000
0.500 0.500 0.500
0.000 0.000 0.500
0.000 0.500 0.000
0.500 0.000 0.000
```

=====

(4)
MgBC2 | GGA-PBE | optimized geometry

Summary:
Symmetry ... I-42d, No. 122
ΔE_f ... 0.649 eV/atom
ΔE to the lowest computed polymorph ... 0.000 eV/atom
Crystal system ... tetragonal

Structure (POSCAR):
```
MgBC2
1.0
-3.720 0.460 0.151
-0.107 -1.925 3.218
-1.271 3.603 4.299
Mg C B
2 4 2
Direct
0.000 0.000 0.000
0.750 0.250 0.500
0.283 0.125 0.250
0.875 0.533 0.750
0.467 0.625 0.250
0.375 0.717 0.750
0.500 0.500 0.000
0.250 0.750 0.500
```

=====

(5)
AgBiSb2I | GGA-PBE | optimized geometry

Summary:
Symmetry ... P4/mmm, No. 123
ΔE to the lowest computed polymorph ... 0.000 eV/atom
Energy relative to the elements, uncorrected ... 0.556 eV per atom
Crystal system ... tetragonal

Structure (POSCAR):
```
AgBiSb2I
1.0
-4.653 -1.645 2.314
-1.005 -3.200 -4.296
2.657 -4.097 2.430
Sb Bi Ag I
2 1 1 1
Direct
0.500 0.000 0.000
0.000 0.500 0.000
0.500 0.500 0.500
0.000 0.000 0.000
0.000 0.000 0.500
```

=====

(6)
Cs5Sc2O6 | GGA-PBE | optimized geometry

Summary:
Symmetry ... C2/c, No. 15
Energy relative to the elements, uncorrected ... -1.982 eV per atom
Crystal system ... monoclinic

Structure (POSCAR):
```
Cs5Sc2O6
1.0
1.464 -4.403 5.358
2.461 -6.320 -2.060
15.443 3.065 1.284
Cs O Sc
10 12 4
Direct
0.321 0.791 0.004
0.785 0.913 0.710
0.791 0.321 0.504
0.087 0.215 0.790
0.215 0.087 0.290
0.913 0.785 0.210
0.209 0.679 0.496
0.400 0.600 0.750
0.600 0.400 0.250
0.679 0.209 0.996
0.720 0.595 0.859
0.377 0.170 0.445
0.170 0.377 0.945
0.125 0.016 0.622
0.830 0.623 0.055
0.280 0.405 0.141
0.984 0.875 0.878
0.016 0.125 0.122
0.875 0.984 0.378
0.595 0.720 0.359
0.623 0.830 0.555
0.405 0.280 0.641
0.360 0.090 0.574
0.640 0.910 0.426
0.090 0.360 0.074
0.910 0.640 0.926
```

=====

(7)
Cs5HF6 | GGA-PBE | optimized geometry

Summary:
Symmetry ... C2/m, No. 12
Crystal system ... monoclinic

Structure (POSCAR):
```
Cs5HF6
1.0
-5.324 -4.923 0.153
0.496 -2.792 -7.137
4.321 -5.739 -1.586
F H Cs
6 1 5
Direct
0.710 0.489 0.637
0.132 0.065 0.000
0.710 0.125 0.363
0.290 0.875 0.637
0.290 0.511 0.363
0.868 0.935 0.000
0.000 0.000 0.000
0.500 0.153 0.693
0.500 0.500 0.000
0.500 0.847 0.307
0.000 0.758 0.485
0.000 0.242 0.515
```

=====

(8)
MgCuBr2 | GGA-PBE | optimized geometry

Summary:
Symmetry ... I-4m2, No. 119
ΔE to the lowest computed polymorph ... 0.278 eV/atom
Energy relative to the elements, uncorrected ... -0.224 eV per atom
Crystal system ... tetragonal

Structure (POSCAR):
```
MgCuBr2
1.0
-7.052 -0.171 0.130
-4.943 -2.999 -4.043
6.080 -0.656 3.517
Br Mg Cu
2 1 1
Direct
0.250 0.750 0.500
0.000 0.000 0.000
0.750 0.250 0.500
0.500 0.500 0.000
```

=====

(9)
CaPr4S4 | GGA-PBE | optimized geometry

Summary:
Symmetry ... C2/m, No. 12
Energy relative to the elements, uncorrected ... -1.769 eV per atom
Crystal system ... monoclinic

Structure (POSCAR):
```
CaPr4S4
1.0
-3.936 0.611 0.778
-2.877 -6.381 1.043
-0.451 -0.885 9.000
Ca Pr S
1 4 4
Direct
0.500 0.000 0.000
0.301 0.602 0.796
0.103 0.194 0.601
0.699 0.398 0.204
0.897 0.806 0.399
0.099 0.707 0.095
0.901 0.293 0.905
0.303 0.098 0.296
0.697 0.902 0.704
```

=====

(10)
Ac2CdSbO6 | GGA-PBE | optimized geometry

Summary:
Symmetry ... P4mm, No. 99
Energy relative to the elements, uncorrected ... -2.172 eV per atom
Crystal system ... tetragonal

Structure (POSCAR):
```
Ac2CdSbO6
1.0
-1.387 -2.297 4.727
-2.475 -4.246 -2.789
4.871 -2.864 0.037
Sb O Ac Cd
1 6 2 1
Direct
0.586 0.000 0.000
0.151 0.500 0.500
0.733 0.239 0.239
0.733 0.239 0.761
0.203 0.000 0.000
0.733 0.761 0.239
0.733 0.761 0.761
0.012 0.000 0.500
0.012 0.500 0.000
0.549 0.500 0.500
```

=====

(11)
In2GaIrBr | GGA-PBE | optimized geometry

Summary:
Symmetry ... P4/mmm, No. 123
Energy relative to the elements, uncorrected ... -0.429 eV per atom
Crystal system ... tetragonal

Structure (POSCAR):
```
In2GaIrBr
1.0
5.263 0.000 0.000
0.000 5.263 0.000
0.000 0.000 4.830
Ir Ga In Br
1 1 2 1
Direct
0.000 0.000 0.000
0.000 0.000 0.500
0.000 0.500 0.000
0.500 0.000 0.000
0.500 0.500 0.500
```

=====

(12)
LiVP2 | GGA-PBE | optimized geometry

Summary:
Symmetry ... R-3m, No. 166
ΔE_f ... -0.357 eV/atom
ΔE to the lowest computed polymorph ... 0.147 eV/atom
Crystal system ... trigonal

Structure (POSCAR):
```
LiVP2
1.0
3.038 0.000 0.000
1.519 2.631 0.000
1.519 0.877 8.078
Li P V
1 2 1
Direct
0.000 0.000 0.000
0.901 0.901 0.298
0.099 0.099 0.702
0.500 0.500 0.500
```

=====

(13)
LiSb2W | GGA-PBE | optimized geometry

Summary:
Symmetry ... I-4m2, No. 119
ΔE to the lowest computed polymorph ... 0.359 eV/atom
Energy relative to the elements, uncorrected ... 0.444 eV per atom
Crystal system ... tetragonal

Structure (POSCAR):
```
LiSb2W
1.0
5.616 0.007 0.000
2.708 4.920 0.000
-4.162 -2.463 2.855
Sb Li W
2 1 1
Direct
0.250 0.750 0.500
0.000 0.000 0.000
0.750 0.250 0.500
0.500 0.500 0.000
```

=====

(14)
Hf2TiW | GGA-PBE | optimized geometry

Summary:
Symmetry ... P4/mmm, No. 123
ΔE_f ... 0.122 eV/atom
ΔE to the lowest computed polymorph ... 0.023 eV/atom
Crystal system ... tetragonal

Structure (POSCAR):
```
Hf2TiW
1.0
3.335 0.000 0.000
0.000 3.335 0.000
0.000 0.000 6.927
Hf W Ti
2 1 1
Direct
0.000 0.000 0.232
0.000 0.000 0.768
0.500 0.500 0.000
0.500 0.500 0.500
```

=====

(15)
SrTc2IO8 | GGA-PBE | optimized geometry

Summary:
Symmetry ... P-1, No. 2
Energy relative to the elements, uncorrected ... -1.548 eV per atom
Crystal system ... triclinic

Structure (POSCAR):
```
SrTc2IO8
1.0
6.260 1.279 0.018
1.429 6.204 -0.207
-0.170 -0.259 7.640
Tc Sr O I
2 1 8 1
Direct
0.649 0.619 0.266
0.351 0.381 0.734
0.000 0.000 0.500
0.628 0.283 0.647
0.631 0.673 0.049
0.369 0.327 0.951
0.793 0.768 0.378
0.207 0.232 0.622
0.197 0.680 0.713
0.803 0.320 0.287
0.372 0.717 0.353
0.000 0.000 0.000
```

=====

(16)
Zn3Ga7 | GGA-PBE | optimized geometry

Summary:
Symmetry ... C2/m, No. 12
ΔE_f ... 0.054 eV/atom
ΔE to the lowest computed polymorph ... 0.008 eV/atom
Crystal system ... monoclinic

Structure (POSCAR):
```
Zn3Ga7
1.0
4.495 0.000 -1.379
-0.387 9.627 -1.264
-1.018 -1.164 4.698
Zn Ga
3 7
Direct
0.154 0.794 0.309
0.846 0.206 0.691
0.000 0.000 0.000
0.393 0.080 0.786
0.228 0.294 0.456
0.615 0.392 0.230
0.000 0.500 0.000
0.385 0.608 0.770
0.772 0.706 0.544
0.607 0.920 0.214
```

=====

(17)
ScTl4Pt | GGA-PBE | optimized geometry

Summary:
Symmetry ... F-43m, No. 216
ΔE_f ... 0.437 eV/atom
Crystal system ... cubic

Structure (POSCAR):
```
ScTl4Pt
1.0
-3.548 0.835 4.870
-4.969 3.483 -0.419
-5.522 -2.541 0.211
Tl Pt Sc
4 1 1
Direct
0.375 0.375 0.874
0.375 0.375 0.375
0.375 0.874 0.375
0.874 0.375 0.375
0.750 0.750 0.750
0.000 0.000 0.000
```

=====

(18)
Th2ZnOsPb | GGA-PBE | optimized geometry

Summary:
Symmetry ... P2_1/m, No. 11
ΔE_f ... -0.202 eV/atom
Crystal system ... monoclinic

Structure (POSCAR):
```
Th2ZnOsPb
1.0
-0.152 1.676 -4.007
2.760 -5.852 -2.552
-8.422 -2.859 -0.876
Zn Th Pb Os
2 4 2 2
Direct
0.750 0.505 0.344
0.250 0.495 0.656
0.250 0.219 0.932
0.750 0.781 0.068
0.250 0.196 0.331
0.750 0.804 0.669
0.250 0.739 0.379
0.750 0.261 0.621
0.750 0.220 0.137
0.250 0.780 0.863
```

=====

(19)
Rb3Sn2As4 | GGA-PBE | optimized geometry

Summary:
Symmetry ... C2/m, No. 12
ΔE_f ... -0.303 eV/atom
Crystal system ... monoclinic

Structure (POSCAR):
```
Rb3Sn2As4
1.0
-2.997 -3.924 0.345
0.518 -1.072 -7.695
7.662 -2.298 4.917
As Sn Rb
4 2 3
Direct
0.794 0.850 0.587
0.206 0.150 0.413
0.491 0.332 0.983
0.509 0.668 0.017
0.667 0.946 0.335
0.333 0.054 0.665
0.139 0.550 0.279
0.000 0.000 0.000
0.861 0.450 0.721
```

=====

(20)
Tm6Mg2N | GGA-PBE | optimized geometry

Summary:
Symmetry ... C2/m, No. 12
Energy relative to the elements, uncorrected ... -0.371 eV per atom
Crystal system ... monoclinic

Structure (POSCAR):
```
Tm6Mg2N
1.0
6.852 0.000 -0.180
0.000 6.869 0.000
0.255 0.000 9.623
Tm Mg N
12 4 2
Direct
0.962 0.000 0.256
0.462 0.500 0.756
0.243 0.756 0.481
0.757 0.244 0.519
0.244 0.244 0.481
0.257 0.256 0.019
0.744 0.256 0.981
0.038 0.000 0.744
0.256 0.744 0.019
0.538 0.500 0.244
0.756 0.756 0.519
0.743 0.744 0.981
0.000 0.500 0.250
0.000 0.500 0.750
0.500 0.000 0.250
0.500 0.000 0.750
0.500 0.500 0.000
0.000 0.000 0.500
```

=====

(21)
PmNd2Sm2Dy4 | GGA-PBE | optimized geometry

Summary:
Symmetry ... C2/m, No. 12
ΔE_f ... 0.000 eV/atom
Crystal system ... monoclinic

Structure (POSCAR):
```
PmNd2Sm2Dy4
1.0
3.637 0.000 0.000
-1.819 9.419 -0.507
0.000 -3.721 8.916
Sm Dy Pm Nd
2 4 1 2
Direct
0.853 0.706 0.337
0.147 0.294 0.663
0.481 0.961 0.666
0.519 0.039 0.334
0.815 0.629 0.664
0.185 0.371 0.336
0.000 0.000 0.000
0.666 0.332 0.001
0.334 0.668 0.999
```

=====

(22)
BaMgW2 | GGA-PBE | optimized geometry

Summary:
Symmetry ... Immm, No. 71
ΔE_f ... 1.244 eV/atom
Crystal system ... orthorhombic

Structure (POSCAR):
```
BaMgW2
1.0
-5.955 -1.727 1.819
-1.400 -3.292 5.381
2.196 5.097 -3.311
Ba W Mg
1 2 1
Direct
0.750 0.250 0.500
0.480 0.480 0.000
0.020 0.020 0.000
0.250 0.750 0.500
```

=====

(23)
Ba2CdC2O6 | GGA-PBE | optimized geometry

Summary:
Symmetry ... P-3m1, No. 164
Energy relative to the elements, uncorrected ... -1.550 eV per atom
Crystal system ... trigonal

Structure (POSCAR):
```
Ba2CdC2O6
1.0
5.543 0.000 0.000
-2.772 4.801 0.000
0.000 0.000 6.187
C Ba O Cd
2 2 6 1
Direct
0.333 0.667 0.825
0.667 0.333 0.175
0.667 0.333 0.683
0.333 0.667 0.317
0.194 0.389 0.764
0.611 0.805 0.764
0.805 0.194 0.236
0.389 0.195 0.236
0.806 0.611 0.236
0.195 0.806 0.764
0.000 0.000 0.000
```

=====

| no. | theoretical density (g cm⁻³) | E (eV per atom) |
| --- | --- | --- |
| 1 | 6.48 | -3.69 |
| 2 | 14.11 | -3.52 |
| 3 | 7.49 | -6.79 |
| 4 | 2.74 | -6.03 |
| 5 | 7.04 | -2.75 |
| 6 | 3.95 | -5.57 |
| 7 | 3.76 | -4.02 |
| 8 | 4.24 | -2.48 |
| 9 | 5.11 | -5.95 |
| 10 | 7.50 | -6.47 |
| 11 | 7.09 | -4.24 |
| 12 | 3.08 | -5.82 |
| 13 | 9.15 | -5.33 |
| 14 | 12.69 | -10.07 |
| 15 | 3.17 | -6.85 |
| 16 | 6.22 | -2.45 |
| 17 | 11.04 | -3.20 |
| 18 | 11.42 | -6.41 |
| 19 | 4.22 | -3.58 |
| 20 | 7.89 | -4.63 |
| 21 | 7.70 | -4.68 |
| 22 | 10.20 | -6.11 |
| 23 | 5.11 | -6.36 |